(1)
This record from Alexandria describes a geometry-optimized AuClO2 structure. The functional is PBE-GGA.

The structure in extended XYZ format:
```
8
Lattice="2.5929 -10.2560 0.0000 2.5929 10.2560 0.0000 -0.4584 0.0000 3.4198" Properties=species:S:1:pos:R:3 pbc="T T T"
Au 1.2965 5.1280 0.0000
Au 1.0673 -5.1280 1.7099
Cl 2.4783 6.9919 0.8549
Cl 2.2491 -6.9919 2.5648
O 1.8679 0.6879 0.7732
O 1.6387 -0.6879 2.4831
O 3.0888 0.6879 0.9367
O 2.8596 -0.6879 2.6466
```

Summary:
The energy relative to the lowest polymorph listed for this composition is 0 meV per atom. The space group is C2/c. The raw total energy comes out at -3.8295 eV/atom. For the volume, the calculation gives 22.736 Å³ per atom. The uncorrected formation energy comes out at -0.07 eV/atom.



(2)
This record from Alexandria describes a geometry-optimized AuClO2 structure. The functional is PBE-GGA.

The structure in extended XYZ format:
```
8
Lattice="3.6669 -5.6006 0.0000 3.6669 5.6006 0.0000 0.0000 0.0000 4.1180" Properties=species:S:1:pos:R:3 pbc="T T T"
Au 1.7047 0.0000 0.0000
Au 5.6291 0.0000 2.0590
Cl 3.6669 4.2004 3.0885
Cl 3.6669 -4.2004 1.0295
O 3.0217 1.1184 1.1769
O 4.3121 1.1184 0.8821
O 3.0217 -1.1184 2.9411
O 4.3121 -1.1184 3.2359
```

Summary:
The energy relative to the lowest polymorph listed for this composition is 33 meV per atom. The space group is C222_1. The raw total energy comes out at -3.7966 eV/atom. For the volume, the calculation gives 21.143 Å³ per atom. The uncorrected formation energy comes out at -0.04 eV/atom.



(3)
This record from Alexandria describes a geometry-optimized PAuCl2O structure. The functional is PBE-GGA.

The structure in extended XYZ format:
```
5
Lattice="4.8764 0.0000 0.0000 0.0000 4.8764 0.0000 0.0000 0.0000 4.8806" Properties=species:S:1:pos:R:3 pbc="T T T"
P 0.0000 0.0000 0.0000
Au 0.0000 0.0000 2.4403
Cl 0.0000 2.4382 2.4403
Cl 2.4382 0.0000 2.4403
O 2.4382 2.4382 0.0000
```

Summary:
The energy relative to the lowest polymorph listed for this composition is 1236 meV per atom. The space group is P4/mmm. The raw total energy comes out at -2.3727 eV/atom. For the volume, the calculation gives 23.211 Å³ per atom. The uncorrected formation energy comes out at 1.10 eV/atom.



(4)
This record from Alexandria describes a geometry-optimized PAuCl2O structure. The functional is PBE-GGA.

The structure in extended XYZ format:
```
5
Lattice="5.1357 0.0000 0.0000 0.0000 5.1357 0.0000 0.0000 0.0000 3.4116" Properties=species:S:1:pos:R:3 pbc="T T T"
P 0.0000 0.0000 0.0000
Au 2.5678 2.5678 1.7058
Cl 0.0000 2.5678 0.0000
Cl 2.5678 0.0000 0.0000
O 0.0000 0.0000 1.7058
```

Summary:
The energy relative to the lowest polymorph listed for this composition is 0 meV per atom. The space group is P4/mmm. The raw total energy comes out at -3.6083 eV/atom. For the volume, the calculation gives 17.996 Å³ per atom. The uncorrected formation energy comes out at -0.14 eV/atom.



> Look up the volume of the third one.

23.211 Å³ per atom